Run P
A plane-wave DFT calculation with GGA-PBEsol was carried out for LiVSiO4 after structural relaxation.

Computed properties:
Calculated volume ... 86 Å³/cell

```
data_LiVSiO4
_space_group_name_H-M_alt 'P 1'
_space_group_IT_number 1
_space_group_name_Hall 'P 1'
_cell_length_a 4.792
_cell_length_b 5.038
_cell_length_c 4.792
_cell_angle_alpha 61.60
_cell_angle_beta 90.00
_cell_angle_gamma 118.40
loop_
_atom_site_label
_atom_site_type_symbol
_atom_site_fract_x
_atom_site_fract_y
_atom_site_fract_z
Si1 Si 0.000 0.000 0.000
V1 V 0.750 0.500 0.750
O1 O 0.061 0.749 0.336
O2 O 0.916 0.251 0.061
O3 O 0.687 0.749 0.916
O4 O 0.336 0.251 0.687
Li1 Li 0.250 0.500 0.250
```



Run Q
A plane-wave DFT calculation with GGA-PBEsol was carried out for LiVSiO4 after structural relaxation.

Computed properties:
Calculated volume ... 300 Å³/cell

```
data_LiVSiO4
_space_group_name_H-M_alt 'P 1'
_space_group_IT_number 1
_space_group_name_Hall 'P 1'
_cell_length_a 5.318
_cell_length_b 5.318
_cell_length_c 12.270
_cell_angle_alpha 90.00
_cell_angle_beta 90.00
_cell_angle_gamma 120.00
loop_
_atom_site_label
_atom_site_type_symbol
_atom_site_fract_x
_atom_site_fract_y
_atom_site_fract_z
Li1 Li 0.000 0.000 0.000
Li2 Li 0.000 0.000 0.667
Li3 Li 0.000 0.000 0.333
V1 V 0.500 0.000 0.833
V2 V 0.500 0.500 0.500
V3 V 0.000 0.500 0.167
Si1 Si 0.000 0.500 0.667
Si2 Si 0.500 0.000 0.333
Si3 Si 0.500 0.500 0.000
O1 O 0.814 0.608 0.593
O2 O 0.794 0.608 0.073
O3 O 0.814 0.206 0.740
O4 O 0.794 0.186 0.260
O5 O 0.392 0.206 0.927
O6 O 0.392 0.186 0.407
O7 O 0.608 0.814 0.407
O8 O 0.608 0.794 0.927
O9 O 0.206 0.814 0.260
O10 O 0.186 0.794 0.740
O11 O 0.206 0.392 0.073
O12 O 0.186 0.392 0.593
```



Run R
A plane-wave DFT calculation with GGA-PBEsol was carried out for LiVSiO4 after structural relaxation.

Computed properties:
Calculated volume ... 480 Å³/cell

```
data_LiVSiO4
_space_group_name_H-M_alt 'P 1'
_space_group_IT_number 1
_space_group_name_Hall 'P 1'
_cell_length_a 8.352
_cell_length_b 8.352
_cell_length_c 8.352
_cell_angle_alpha 107.39
_cell_angle_beta 107.39
_cell_angle_gamma 107.39
loop_
_atom_site_label
_atom_site_type_symbol
_atom_site_fract_x
_atom_site_fract_y
_atom_site_fract_z
Li1 Li 0.129 0.732 0.869
Li2 Li 0.219 0.569 0.445
Li3 Li 0.445 0.219 0.569
Li4 Li 0.869 0.129 0.732
Li5 Li 0.569 0.445 0.219
Li6 Li 0.732 0.869 0.129
V1 V 0.050 0.190 0.487
V2 V 0.501 0.955 0.780
V3 V 0.780 0.501 0.955
V4 V 0.190 0.487 0.050
V5 V 0.487 0.050 0.190
V6 V 0.955 0.780 0.501
Si1 Si 0.275 0.130 0.853
Si2 Si 0.403 0.564 0.802
Si3 Si 0.130 0.853 0.275
Si4 Si 0.564 0.802 0.403
Si5 Si 0.802 0.403 0.564
Si6 Si 0.853 0.275 0.130
O1 O 0.309 0.978 0.936
O2 O 0.064 0.038 0.683
O3 O 0.276 0.600 0.915
O4 O 0.427 0.144 0.763
O5 O 0.613 0.620 0.947
O6 O 0.299 0.353 0.635
O7 O 0.144 0.763 0.427
O8 O 0.401 0.698 0.695
O9 O 0.017 0.313 0.318
O10 O 0.038 0.683 0.064
O11 O 0.318 0.017 0.313
O12 O 0.695 0.401 0.698
O13 O 0.936 0.309 0.978
O14 O 0.620 0.947 0.613
O15 O 0.353 0.635 0.299
O16 O 0.635 0.299 0.353
O17 O 0.947 0.613 0.620
O18 O 0.600 0.915 0.276
O19 O 0.698 0.695 0.401
O20 O 0.313 0.318 0.017
O21 O 0.915 0.276 0.600
O22 O 0.978 0.936 0.309
O23 O 0.763 0.427 0.144
O24 O 0.683 0.064 0.038
```



Which of them is most stable? Easy: run R.



Run P
A plane-wave DFT calculation with GGA-PBEsol was carried out for LiVSiO5 after structural relaxation.

Computed properties:
Calculated volume ... 177 Å³/cell

```
data_LiVSiO5
_space_group_name_H-M_alt 'P 1'
_space_group_IT_number 1
_space_group_name_Hall 'P 1'
_cell_length_a 4.530
_cell_length_b 6.252
_cell_length_c 6.252
_cell_angle_alpha 90.25
_cell_angle_beta 90.00
_cell_angle_gamma 90.00
loop_
_atom_site_label
_atom_site_type_symbol
_atom_site_fract_x
_atom_site_fract_y
_atom_site_fract_z
Li1 Li 0.500 0.500 0.000
Li2 Li 0.500 0.000 0.500
V1 V 0.105 0.750 0.250
V2 V 0.895 0.250 0.750
Si1 Si 0.000 0.250 0.250
Si2 Si 0.000 0.750 0.750
O1 O 0.787 0.255 0.039
O2 O 0.750 0.750 0.250
O3 O 0.213 0.461 0.245
O4 O 0.213 0.039 0.255
O5 O 0.787 0.245 0.461
O6 O 0.213 0.755 0.539
O7 O 0.787 0.961 0.745
O8 O 0.787 0.539 0.755
O9 O 0.250 0.250 0.750
O10 O 0.213 0.745 0.961
```



Run Q
A plane-wave DFT calculation with GGA-PBEsol was carried out for LiVSiO5 after structural relaxation.

Computed properties:
Calculated volume ... 181 Å³/cell

```
data_LiVSiO5
_space_group_name_H-M_alt 'P 1'
_space_group_IT_number 1
_space_group_name_Hall 'P 1'
_cell_length_a 4.637
_cell_length_b 6.163
_cell_length_c 6.348
_cell_angle_alpha 90.00
_cell_angle_beta 94.19
_cell_angle_gamma 90.00
loop_
_atom_site_label
_atom_site_type_symbol
_atom_site_fract_x
_atom_site_fract_y
_atom_site_fract_z
Li1 Li 0.500 0.000 0.500
Li2 Li 0.500 0.500 0.500
V1 V 0.103 0.750 0.752
V2 V 0.897 0.250 0.248
Si1 Si 0.019 0.250 0.745
Si2 Si 0.981 0.750 0.255
O1 O 0.862 0.250 0.968
O2 O 0.759 0.750 0.695
O3 O 0.226 0.466 0.734
O4 O 0.226 0.034 0.734
O5 O 0.771 0.250 0.550
O6 O 0.229 0.750 0.450
O7 O 0.774 0.966 0.266
O8 O 0.774 0.534 0.266
O9 O 0.241 0.250 0.305
O10 O 0.138 0.750 0.032
```



Which of them is most stable? Easy: run Q.